[1]
The following is a PBE-GGA calculation of a relaxed structure of Ca2NdGa3, from Alexandria.

a b c (Å): 5.1873 8.2329 7.3766
angles (deg): 90.00 90.00 71.64
Closest atoms and distances in Å follow each position.
Element x y z (fractional)
Ga (0.5000, 0.0000, 0.7398)  6 Ca 3.14-3.23, 2 Nd 3.15
Ga (0.8314, 0.3373, 0.2503)  5 Ca 3.15-3.22, 3 Nd 3.19-3.26
Ga (0.1686, 0.6627, 0.7497)  5 Ca 3.15-3.22, 3 Nd 3.19-3.26
Ga (0.8314, 0.3373, 0.7497)  5 Ca 3.15-3.22, 3 Nd 3.19-3.26
Ga (0.1686, 0.6627, 0.2503)  5 Ca 3.15-3.22, 3 Nd 3.19-3.26
Ga (0.5000, 0.0000, 0.2602)  6 Ca 3.14-3.23, 2 Nd 3.15
Nd (0.3403, 0.3193, 0.0000)  8 Ga 3.15-3.26
Nd (0.6597, 0.6807, 0.0000)  8 Ga 3.15-3.26
Ca (0.0000, 0.0000, 0.0000)  8 Ga 3.22-3.23, 4 Nd 3.60
Ca (0.6676, 0.6648, 0.5000)  8 Ga 3.15-3.18
Ca (0.0000, 0.0000, 0.5000)  8 Ga 3.14-3.22
Ca (0.3324, 0.3352, 0.5000)  8 Ga 3.15-3.18

Theoretical density: 4.82 g cm⁻³
SG: Cmmm (65)
Size of the total moment: 0.00 μB/f.u.
DFT total energy: -41.49 eV per cell
Crystal system: orthorhombic
Formation enthalpy at 0 K: -0.483 eV per atom



[2]
The following is a PBE-GGA calculation of a relaxed structure of Sm6Rh2AuI3, from Alexandria.

a b c (Å): 7.2847 7.2847 8.3876
angles (deg): 98.32 98.32 119.99
Closest atoms and distances in Å follow each position.
Element x y z (fractional)
Rh (0.3332, 0.6668, 0.0000)  6 Sm 2.80-2.81
Rh (0.6668, 0.3332, 0.0000)  6 Sm 2.80-2.81
Sm (0.7119, 0.7119, 0.1865)  2 Rh 2.80, 1 Au 2.96
Sm (0.0625, 0.4127, 0.1874)  2 Rh 2.81, 1 Au 2.96
Sm (0.5873, 0.9375, 0.8126)  2 Rh 2.81, 1 Au 2.96
Sm (0.2881, 0.2881, 0.8135)  2 Rh 2.80, 1 Au 2.96
Sm (0.4127, 0.0625, 0.1874)  2 Rh 2.81, 1 Au 2.96
Sm (0.9375, 0.5873, 0.8126)  2 Rh 2.81, 1 Au 2.96
I (0.8346, 0.1654, 0.5000)  6 Sm 3.42-3.54
I (0.5000, 0.5000, 0.5000)  6 Sm 3.41-3.54
I (0.1654, 0.8346, 0.5000)  6 Sm 3.42-3.54
Au (0.0000, 0.0000, 0.0000)  6 Sm 2.96

Energy relative to the elements, uncorrected: -11.01 eV/f.u.
Theoretical density: 7.59 g cm⁻³
SG: C2/m (12)
Size of the total moment: 0.00 μB/f.u.
DFT total energy: -61.96 eV per cell
Crystal system: monoclinic